The following is a DFT calculation (PBE with a Hubbard U) of a geometry-optimized NiSnN2F structure.

a b c (Å): 3.8948 3.8948 3.8292
angles (deg): 90.00 90.00 90.00
With the nearest neighbours (Å) after each atom.
Positions (direct):
Sn: 0.5000 0.5000 0.5000  8 N 2.73, 4 F 2.75
N: 0.5000 0.0000 0.0000  2 Ni 1.95
N: 0.0000 0.5000 0.0000  2 Ni 1.95
F: 0.0000 0.0000 0.5000  2 Ni 1.91
Ni: 0.0000 0.0000 0.0000  2 F 1.91, 4 N 1.95

Summary:
Crystal system: tetragonal
SG: No. 123
ΔE to the lowest computed polymorph in eV per atom: 0.000
Density in g/cm3: 6.415